Entry from the Alexandria database: a geometry-optimized CaPrMgRh structure (GGA-PBE).

DOS at the Fermi energy: 1.092 states/eV per atom
space-group type: F-43m, No. 216
magnetization: 0.00 μB per formula unit
volume: 24.73 Å³/atom
crystal system: cubic
E_form: -0.2296 eV per atom

Unit cell a=5.191 b=5.191 c=5.191 alpha=60.00 beta=60.00 gamma=60.00
Fractional positions:
Mg1 0.000 0.000 0.000
Ca1 0.750 0.750 0.750
Pr1 0.250 0.250 0.250
Rh1 0.500 0.500 0.500